[1]
The following is a DFT calculation (GGA-PBE) of crystalline Pm6Ge2Te3Pb at its relaxed geometry.

## Properties
Symmetry: C2/m
Electronic total energy in eV for the cell shown: -64.6
Total magnetic moment in μB per cell: 0.00
Formation energy without anion corrections in eV/atom: -1.147
N(E_F) in states/eV/cell: 2.60

a b c (Å): 4.397 8.934 9.931
angles (deg): 103.50 102.79 90.00
Fractional positions:
1 Pb 0.500 0.000 0.000
2 Te 0.500 0.500 0.000
3 Te 0.164 0.832 0.328
4 Te 0.836 0.168 0.672
5 Pm 0.327 0.431 0.654
6 Pm 0.673 0.569 0.346
7 Pm 0.009 0.253 0.017
8 Pm 0.668 0.105 0.336
9 Pm 0.332 0.895 0.664
10 Pm 0.991 0.747 0.983
11 Ge 0.832 0.665 0.664
12 Ge 0.168 0.335 0.336

=====

[2]
The following is a DFT calculation (GGA-PBE) of crystalline TcHg3 at its relaxed geometry.

## Properties
Symmetry: I4/mmm
Electronic total energy in eV for the cell shown: -8.7
Offset from the most stable computed form in meV/atom: 305.1
Formation enthalpy at 0 K in eV/atom: 0.6471
Total magnetic moment in μB per cell: 2.05
N(E_F) in states/eV/cell: 3.40

a b c (Å): 4.214 5.469 4.214
angles (deg): 67.34 90.00 112.66
Last column: magnetic moment on the atom in μB.
Fractional positions:
1 Hg 0.500 0.000 0.500  0.00
2 Hg 0.750 0.500 0.750  -0.03
3 Hg 0.000 0.000 0.000  0.00
4 Tc 0.250 0.500 0.250  1.86

=====

[3]
The following is a DFT calculation (GGA-PBE) of crystalline LiReGeB2 at its relaxed geometry.

## Properties
Symmetry: P4/mmm
Electronic total energy in eV for the cell shown: -22.9
Formation enthalpy at 0 K in eV/atom: 1.8865
Total magnetic moment in μB per cell: 0.00
N(E_F) in states/eV/cell: 2.95

a b c (Å): 3.754 4.092 3.754
angles (deg): 90.00 90.00 90.00
Fractional positions:
1 Re 0.500 0.500 0.500
2 B 0.500 0.000 0.000
3 B 0.000 0.000 0.500
4 Li 0.000 0.000 0.000
5 Ge 0.000 0.500 0.000

=====

- N(E_F) of number 1 (Pm6Ge2Te3Pb)?
  2.60 states/eV/cell

=====

- N(E_F) of number 1 (Pm6Ge2Te3Pb)?
  2.60 states/eV/cell

=====

- Which value of total magnetic moment does entry 1 give?
  0.00 μB per cell

=====

- Which of these has the highest total magnetic moment?
  TcHg3